(1)
Below is a geometry-optimized Zr5GeSb3 structure, with properties calculated at the GGA-PBE level.

For the calculated total energy, the calculation gives -133.80 eV per cell. As for the spin magnetization: 0.00 μB per cell. The value obtained for the raw formation energy is -797 meV/atom.

The space group is P6_3/mcm (No. 193) and the conventional cell measures 8.7045, 8.7045 and 5.8725 Å, with angles of 90.00, 90.00 and 120.00 degrees. The inequivalent atoms are Zr at (0.0000, 0.2650, 0.2500), Zr at (0.3333, 0.6667, 0.0000), Ge at (0.0000, 0.0000, 0.0000) and Sb at (0.0000, 0.3940, 0.7500).

(2)
Below is a geometry-optimized FeSiGeRu structure, with properties calculated at the GGA-PBE level.

For the calculated total energy, the calculation gives -115.39 eV per cell. As for the spin magnetization: 0.00 μB per cell. The value obtained for the raw formation energy is -267 meV/atom.

The space group is F-43m (No. 216) and the conventional cell measures 5.848, 5.848 and 5.848 Å, with angles of 90.00, 90.00 and 90.00 degrees. The inequivalent atoms are Fe at (0.000, 0.000, 0.000), Si at (0.250, 0.250, 0.750), Ge at (0.250, 0.250, 0.250) and Ru at (0.000, 0.000, 0.500).

(3)
Below is a geometry-optimized HoSc5Hg3 structure, with properties calculated at the GGA-PBE level.

For the calculated total energy, the calculation gives -79.99 eV per cell. As for the spin magnetization: 0.00 μB per cell. The calculation puts the formation energy at -0.317 eV per atom.

The space group is P6_3/mcm (No. 193) and the conventional cell measures 8.6055, 8.6055 and 6.5184 Å, with angles of 90.00, 90.00 and 120.00 degrees. The inequivalent atoms are Ho at (0.0000, 0.0000, 0.0000), Sc at (0.0000, 0.3397, 0.2500), Sc at (0.3333, 0.6667, 0.0000) and Hg at (0.0000, 0.3323, 0.7500).

(4)
Below is a geometry-optimized Zr2InBr structure, with properties calculated at the GGA-PBE level.

For the calculated total energy, the calculation gives -87.15 eV per cell. As for the spin magnetization: 0.00 μB per cell. The energy above the most stable polymorph in this dataset comes out at 0.349 eV per atom. The value obtained for the raw formation energy is -70 meV/atom.

The space group is Fm-3m (No. 225) and the conventional cell measures 7.081, 7.081 and 7.081 Å, with angles of 90.00, 90.00 and 90.00 degrees. The inequivalent atoms are Zr at (0.250, 0.250, 0.250), In at (0.000, 0.000, 0.000) and Br at (0.000, 0.000, 0.500).

(5)
Below is a geometry-optimized WSe2 structure, with properties calculated at the GGA-PBE level.

For the calculated total energy, the calculation gives -80.81 eV per cell. As for the spin magnetization: 0.01 μB per cell. The value obtained for the raw formation energy is -94 meV/atom.

The space group is Cm (No. 8) and the conventional cell measures 14.847, 3.197 and 8.149 Å, with angles of 90.00, 114.04 and 90.00 degrees. The inequivalent atoms are W at (0.000, 0.000, 0.000), W at (0.108, 0.500, 0.359), Se at (0.143, 0.000, 0.604), Se at (0.147, 0.500, 0.089), Se at (0.423, 0.000, 0.744) and Se at (0.433, 0.000, 0.179).

(6)
Below is a geometry-optimized Be2Au3 structure, with properties calculated at the GGA-PBE level.

For the calculated total energy, the calculation gives -103.12 eV per cell. As for the spin magnetization: 0.00 μB per cell. The energy above the most stable polymorph in this dataset comes out at 0.123 eV per atom. The calculation puts the formation energy at 0.020 eV per atom.

The space group is R-3c (No. 167, hexagonal axes) and the conventional cell measures 6.5613, 6.5613 and 12.4067 Å, with angles of 90.00, 90.00 and 120.00 degrees. The inequivalent atoms are Be at (0.0000, 0.0000, 0.1496) and Au at (0.0000, 0.3189, 0.2500).

(7)
Below is a geometry-optimized CrB3Se structure, with properties calculated at the GGA-PBE level.

For the calculated total energy, the calculation gives -25.22 eV per cell. As for the spin magnetization: 1.49 μB per cell. The energy above the most stable polymorph in this dataset comes out at 0.000 eV per atom. The value obtained for the raw formation energy is 1583 meV/atom.

The space group is Pm-3m (No. 221) and the conventional cell measures 4.010, 4.010 and 4.010 Å, with angles of 90.00, 90.00 and 90.00 degrees. The inequivalent atoms are Cr at (0.000, 0.000, 0.000), B at (0.000, 0.000, 0.500) and Se at (0.500, 0.500, 0.500).

(8)
Below is a geometry-optimized Pr3Nd2Si4 structure, with properties calculated at the GGA-PBE level.

For the calculated total energy, the calculation gives -102.97 eV per cell. As for the spin magnetization: 0.00 μB per cell. The value obtained for the raw formation energy is -657 meV/atom.

The space group is P2_1/c (No. 14) and the conventional cell measures 7.893, 7.955 and 7.884 Å, with angles of 90.00, 104.43 and 90.00 degrees. The inequivalent atoms are Pr at (0.000, 0.000, 0.000), Pr at (0.262, 0.183, 0.744), Nd at (0.291, 0.688, 0.895), Si at (0.006, 0.614, 0.114) and Si at (0.414, 0.022, 0.106).